1.
This record from the Alexandria database describes a relaxed Tm4Cu2Au crystal. The functional is GGA-PBE.

The structure belongs to space group R-3m (No. 166, hexagonal axes); the cell edges are 4.8657, 4.8657 and 23.7720 Å and the angles 90.00°, 90.00° and 120.00°. The asymmetric unit holds Tm at (0.0000, 0.0000, 0.1216), Tm at (0.0000, 0.0000, 0.3725), Cu at (0.0000, 0.0000, 0.2512) and Au at (0.0000, 0.0000, 0.5000).

As for the density of states at the Fermi level: 0.677 states/eV per atom. The total magnetic moment comes out at 0.000 μB/atom. The formation energy is -331 meV per atom. The calculation puts the raw total energy at -0.333 Ry per atom.

=====

2.
This record from the Alexandria database describes a relaxed TaZn2Ir crystal. The functional is GGA-PBE.

The structure belongs to space group I4/mmm (No. 139); the cell edges are 3.857, 3.857 and 8.315 Å and the angles 90.00°, 90.00° and 90.00°. The asymmetric unit holds Ta at (0.000, 0.000, 0.000), Zn at (0.000, 0.500, 0.250) and Ir at (0.000, 0.000, 0.500).

As for the density of states at the Fermi level: 0.625 states/eV per atom. The total magnetic moment comes out at 0.212 μB/atom. The formation energy is -20 meV per atom. The calculation puts the raw total energy at -0.429 Ry per atom.

=====

3.
This record from the Alexandria database describes a relaxed TlIn2GaBr crystal. The functional is GGA-PBE.

The structure belongs to space group P4/mmm (No. 123); the cell edges are 5.952, 5.952 and 5.573 Å and the angles 90.00°, 90.00° and 90.00°. The asymmetric unit holds Tl at (0.000, 0.000, 0.000), In at (0.000, 0.500, 0.500), Ga at (0.500, 0.500, 0.000) and Br at (0.500, 0.500, 0.500).

As for the density of states at the Fermi level: 0.859 states/eV per atom. The total magnetic moment comes out at 0.000 μB/atom. The calculation puts the raw total energy at -0.164 Ry per atom.

=====

4.
This record from the Alexandria database describes a relaxed VIrS crystal. The functional is GGA-PBE.

The structure belongs to space group P-6m2 (No. 187); the cell edges are 2.9270, 2.9270 and 12.3821 Å and the angles 90.00°, 90.00° and 120.00°. The asymmetric unit holds V at (0.0000, 0.0000, 0.0000), V at (0.3333, 0.6667, 0.5000), Ir at (0.0000, 0.0000, 0.3465) and S at (0.3333, 0.6667, 0.1261).

As for the density of states at the Fermi level: 0.790 states/eV per atom. The total magnetic moment comes out at 0.151 μB/atom. The calculation puts the raw total energy at -0.562 Ry per atom.

=====

5.
This record from the Alexandria database describes a relaxed NaH3Se2O6 crystal. The functional is GGA-PBE.

The structure belongs to space group Pc (No. 7); the cell edges are 5.849, 5.043 and 11.767 Å and the angles 90.00°, 117.78° and 90.00°. The asymmetric unit holds Na at (0.000, 0.248, 0.000), H at (0.260, 0.279, 0.663), H at (0.521, 0.298, 0.009), H at (0.713, 0.202, 0.330), Se at (0.320, 0.116, 0.331), Se at (0.661, 0.358, 0.671), O at (0.136, 0.047, 0.690), O at (0.326, 0.081, 0.950), O at (0.338, 0.445, 0.639), O at (0.644, 0.034, 0.352), O at (0.663, 0.447, 0.045) and O at (0.838, 0.463, 0.304).

As for the density of states at the Fermi level: 0.000 states/eV per atom. The total magnetic moment comes out at 0.000 μB/atom. The calculation puts the raw total energy at -0.372 Ry per atom.

=====

6.
This record from the Alexandria database describes a relaxed Hf6MnAl2 crystal. The functional is GGA-PBE.

The structure belongs to space group P2_1/c (No. 14); the cell edges are 5.395, 7.657 and 9.846 Å and the angles 90.00°, 117.61° and 90.00°. The asymmetric unit holds Hf at (0.057, 0.174, 0.454), Hf at (0.360, 0.685, 0.451), Hf at (0.391, 0.036, 0.270), Mn at (0.000, 0.000, 0.000) and Al at (0.148, 0.112, 0.760).

As for the density of states at the Fermi level: 0.838 states/eV per atom. The total magnetic moment comes out at 0.000 μB/atom. The formation energy is -83 meV per atom. The calculation puts the raw total energy at -0.630 Ry per atom.

=====

7.
This record from the Alexandria database describes a relaxed KLaRh2 crystal. The functional is GGA-PBE.

The structure belongs to space group I-4m2 (No. 119); the cell edges are 4.280, 4.280 and 9.549 Å and the angles 90.00°, 90.00° and 90.00°. The asymmetric unit holds K at (0.000, 0.000, 0.000), La at (0.000, 0.500, 0.750), Rh at (0.000, 0.000, 0.500) and Rh at (0.000, 0.500, 0.250).

As for the density of states at the Fermi level: 0.747 states/eV per atom. The total magnetic moment comes out at 0.000 μB/atom. The formation energy is 251 meV per atom. The calculation puts the raw total energy at -0.362 Ry per atom.

=====

8.
This record from the Alexandria database describes a relaxed KPa2Ni2Se6 crystal. The functional is GGA-PBE.

The structure belongs to space group P-1 (No. 2); the cell edges are 7.396, 7.425 and 7.579 Å and the angles 89.57°, 61.00° and 61.08°. The asymmetric unit holds K at (0.000, 0.000, 0.000), Pa at (0.333, 0.007, 0.333), Ni at (0.107, 0.563, 0.350), Se at (0.166, 0.746, 0.543), Se at (0.221, 0.253, 0.694) and Se at (0.459, 0.253, 0.067).

As for the density of states at the Fermi level: 0.775 states/eV per atom. The total magnetic moment comes out at 0.094 μB/atom. The calculation puts the raw total energy at -0.423 Ry per atom.